Computed, not measured: ZrS3F after structural relaxation at the PBE level of DFT.

Structure (POSCAR):
```
ZrS3F
1.0
4.930 0.000 0.000
0.000 4.930 0.000
0.000 0.000 4.930
Zr S F
1 3 1
Direct
0.000 0.000 0.000
0.000 0.000 0.500
0.000 0.500 0.000
0.500 0.000 0.000
0.500 0.500 0.500
```

Output
- excess energy over the best structure of this formula in the dataset (kcal/mol of atoms) = 0.000